{"formula": "LaNdHo", "functional": "PBE", "state": "relaxed", "m_tot_mub_per_cell": 0.00, "sg": "F-43m (216)", "e_above_lowest_polymorph_ev_per_atom": 0.000, "e_form_mev_per_atom": 661, "lattice_angstrom": [[-1.1858, 0.4844, 5.4038], [-5.2912, 0.2078, 1.6740], [-2.2120, -4.2863, 2.7525]], "species": ["La", "Nd", "Ho"], "fractional_positions": [[0.2500, 0.2500, 0.2500], [0.7500, 0.7500, 0.7500], [0.0000, 0.0000, 0.0000]]}

{"formula": "Rb2Ho2AsP", "functional": "PBE", "state": "relaxed", "m_tot_mub_per_cell": 0.03, "sg": "P4mm (99)", "dft_energy_ev_per_atom": -4.22, "lattice_angstrom": [[-4.6103, 0.9709, 1.5995], [-0.9550, -4.8785, 0.2087], [2.6654, -0.1883, 7.7971]], "species": ["Rb", "Rb", "Ho", "Ho", "P", "As"], "fractional_positions": [[0.0000, 0.0000, 0.6237], [0.5000, 0.5000, 0.3742], [0.0000, 0.5000, 0.9941], [0.5000, 0.0000, 0.9941], [0.5000, 0.5000, 0.8396], [0.0000, 0.0000, 0.1744]]}

{"formula": "TlSiAgS3", "functional": "PBE", "state": "relaxed", "sg": "Cmcm (63)", "dft_energy_ev_per_atom": -4.05, "lattice_angstrom": [[-6.2073, -4.2315, -1.1468], [-3.9040, -6.5161, -0.2252], [-2.6669, 1.2597, 9.7870]], "species": ["Ag", "Ag", "Tl", "Tl", "S", "S", "S", "S", "S", "S", "Si", "Si"], "fractional_positions": [[0.6349, 0.6349, 0.7500], [0.3651, 0.3651, 0.2500], [0.3103, 0.3103, 0.7500], [0.6897, 0.6897, 0.2500], [0.9693, 0.9693, 0.7500], [0.3934, 0.3934, 0.4845], [0.0307, 0.0307, 0.2500], [0.3934, 0.3934, 0.0154], [0.6066, 0.6066, 0.5155], [0.6066, 0.6066, 0.9846], [0.0000, 0.0000, 0.0000], [0.0000, 0.0000, 0.5000]]}